NaGeTeF2 | PBE | relaxed Values from VASP.

Structure (Quantum ESPRESSO input):
```
&SYSTEM
  ibrav = 0, nat = 5, ntyp = 4
/
ATOMIC_SPECIES
Na 22.99 Na.upf
Ge 72.64 Ge.upf
Te 127.60 Te.upf
F 19.00 F.upf
ATOMIC_POSITIONS crystal
Na 0.0000 0.0000 0.0000
Ge 0.5000 0.5000 0.5000
Te 0.5000 0.5000 0.0000
F 0.0000 0.5000 0.5000
F 0.5000 0.0000 0.5000
CELL_PARAMETERS angstrom
4.3368 0.0000 0.0000
0.0000 4.3368 0.0000
0.0000 0.0000 5.5522
```

Values from the calculation:
Fermi-level density of states, states/eV/cell: 1.97
Calculated volume, A^3/atom: 20.88
Energy, eV/atom: -3.99

---

Y3Ag5O12 | PBE | relaxed Values from VASP.

Structure (Quantum ESPRESSO input):
```
&SYSTEM
  ibrav = 0, nat = 80, ntyp = 3
/
ATOMIC_SPECIES
Y 88.91 Y.upf
Ag 107.87 Ag.upf
O 16.00 O.upf
ATOMIC_POSITIONS crystal
Y 0.1250 0.2500 0.3750
Y 0.1250 0.3750 0.7500
Y 0.2500 0.3750 0.1250
Y 0.2500 0.8750 0.6250
Y 0.3750 0.1250 0.2500
Y 0.3750 0.7500 0.1250
Y 0.6250 0.2500 0.8750
Y 0.6250 0.8750 0.7500
Y 0.7500 0.1250 0.3750
Y 0.7500 0.6250 0.8750
Y 0.8750 0.6250 0.2500
Y 0.8750 0.7500 0.6250
Ag 0.0000 0.0000 0.0000
Ag 0.0000 0.0000 0.5000
Ag 0.0000 0.5000 0.0000
Ag 0.0000 0.5000 0.5000
Ag 0.1250 0.7500 0.8750
Ag 0.1250 0.8750 0.2500
Ag 0.2500 0.1250 0.8750
Ag 0.2500 0.6250 0.3750
Ag 0.3750 0.2500 0.6250
Ag 0.3750 0.6250 0.7500
Ag 0.5000 0.0000 0.0000
Ag 0.5000 0.0000 0.5000
Ag 0.5000 0.5000 0.0000
Ag 0.5000 0.5000 0.5000
Ag 0.6250 0.3750 0.2500
Ag 0.6250 0.7500 0.3750
Ag 0.7500 0.3750 0.6250
Ag 0.7500 0.8750 0.1250
Ag 0.8750 0.1250 0.7500
Ag 0.8750 0.2500 0.1250
O 0.0486 0.2125 0.1369
O 0.0486 0.3362 0.9117
O 0.0755 0.7125 0.6638
O 0.0755 0.8631 0.4117
O 0.0883 0.6369 0.4245
O 0.0883 0.9514 0.6638
O 0.1369 0.0486 0.2125
O 0.1369 0.5883 0.9245
O 0.1638 0.2125 0.5755
O 0.1638 0.4514 0.5883
O 0.2125 0.1369 0.0486
O 0.2125 0.5755 0.1638
O 0.2875 0.3362 0.9245
O 0.2875 0.4514 0.3631
O 0.3362 0.9117 0.0486
O 0.3362 0.9245 0.2875
O 0.3631 0.2875 0.4514
O 0.3631 0.5755 0.9117
O 0.4117 0.0755 0.8631
O 0.4117 0.8362 0.5486
O 0.4245 0.0883 0.6369
O 0.4245 0.8362 0.7875
O 0.4514 0.3631 0.2875
O 0.4514 0.5883 0.1638
O 0.5486 0.4117 0.8362
O 0.5486 0.6369 0.7125
O 0.5755 0.1638 0.2125
O 0.5755 0.9117 0.3631
O 0.5883 0.1638 0.4514
O 0.5883 0.9245 0.1369
O 0.6369 0.4245 0.0883
O 0.6369 0.7125 0.5486
O 0.6638 0.0755 0.7125
O 0.6638 0.0883 0.9514
O 0.7125 0.5486 0.6369
O 0.7125 0.6638 0.0755
O 0.7875 0.4245 0.8362
O 0.7875 0.8631 0.9514
O 0.8362 0.5486 0.4117
O 0.8362 0.7875 0.4245
O 0.8631 0.4117 0.0755
O 0.8631 0.9514 0.7875
O 0.9117 0.0486 0.3362
O 0.9117 0.3631 0.5755
O 0.9245 0.1369 0.5883
O 0.9245 0.2875 0.3362
O 0.9514 0.6638 0.0883
O 0.9514 0.7875 0.8631
CELL_PARAMETERS angstrom
-6.5259 6.5259 6.5259
6.5259 -6.5259 6.5259
6.5259 6.5259 -6.5259
```

Values from the calculation:
Fermi-level density of states, states/eV/cell: 60.82
Calculated volume, A^3/atom: 13.90
Energy, eV/atom: -5.79

---

ReAuN2 | PBE | relaxed Values from VASP.

Structure (Quantum ESPRESSO input):
```
&SYSTEM
  ibrav = 0, nat = 16, ntyp = 3
/
ATOMIC_SPECIES
Re 186.21 Re.upf
Au 196.97 Au.upf
N 14.01 N.upf
ATOMIC_POSITIONS crystal
Re 0.0000 0.0000 0.0000
Re 0.0000 0.5000 0.2500
Re 0.5000 0.0000 0.7500
Re 0.5000 0.5000 0.5000
Au 0.0000 0.0000 0.5000
Au 0.0000 0.5000 0.7500
Au 0.5000 0.0000 0.2500
Au 0.5000 0.5000 0.0000
N 0.1633 0.2500 0.1250
N 0.2500 0.6633 0.3750
N 0.2500 0.8367 0.8750
N 0.3367 0.2500 0.6250
N 0.6633 0.7500 0.6250
N 0.7500 0.1633 0.8750
N 0.7500 0.3367 0.3750
N 0.8367 0.7500 0.1250
CELL_PARAMETERS angstrom
5.0206 0.0000 0.0000
0.0000 5.0206 0.0000
0.0000 0.0000 9.2994
```

Values from the calculation:
Fermi-level density of states, states/eV/cell: 11.53
Distance to the lowest polymorph of the same formula, meV per atom: 258
Calculated volume, A^3/atom: 14.65
Energy, eV/atom: -7.51

---

Q: energy of number 1 (NaGeTeF2)?
A: -3.99 eV/atom

---

Q: Among the records above, which one has the highest Fermi-level density of states?
A: Y3Ag5O12

---

Q: Look up the Fermi-level density of states of the first one.
A: 1.97 states/eV/cell